[1]
Computed, not measured: crystalline Ba2CeMgAu6 at its relaxed geometry at the PBE-GGA level of DFT.

## Properties
Final energy: -3.459 eV per atom
Crystal system: monoclinic
V: 313.6 Å³ per cell
Space group: C2/m

Unit cell a=7.623 b=7.625 c=7.625 alpha=60.02 beta=60.01 gamma=89.98
Atoms (fractional coordinates):
Ba 0.250 0.750 0.500
Ba 0.750 0.250 0.500
Ce 0.500 0.500 0.000
Mg 0.000 0.000 0.000
Au 0.238 0.762 0.000
Au 0.762 0.762 0.000
Au 0.238 0.238 0.524
Au 0.762 0.238 0.000
Au 0.238 0.238 0.000
Au 0.762 0.762 0.476

[2]
Computed, not measured: crystalline Rb2PrThSe4 at its relaxed geometry at the PBE-GGA level of DFT.

## Properties
Final energy: -5.137 eV per atom
Crystal system: monoclinic
E_form (uncorrected): -1628 meV/atom
V: 264.1 Å³ per cell
Space group: P2/m

Unit cell a=4.344 b=7.515 c=8.466 alpha=107.17 beta=90.00 gamma=90.00
Atoms (fractional coordinates):
Rb 0.500 0.000 0.500
Rb 0.000 0.500 0.500
Pr 0.500 0.500 0.000
Th 0.000 0.000 0.000
Se 0.500 0.228 0.204
Se 0.500 0.772 0.796
Se 0.000 0.257 0.795
Se 0.000 0.743 0.205

[3]
Computed, not measured: crystalline LiTb4Y3S8 at its relaxed geometry at the PBE-GGA level of DFT.

## Properties
Final energy: -6.523 eV per atom
Crystal system: trigonal
E_form (uncorrected): -1970 meV/atom
V: 337.6 Å³ per cell
Space group: R-3m

Unit cell a=7.815 b=7.817 c=7.815 alpha=120.00 beta=120.00 gamma=90.00
Atoms (fractional coordinates):
Li 0.000 0.500 0.000
Tb 0.500 0.000 0.000
Tb 0.500 0.000 0.500
Tb 0.000 0.000 0.000
Tb 0.000 0.000 0.500
Y 0.500 0.500 0.000
Y 0.500 0.500 0.500
Y 0.000 0.500 0.500
S 0.245 0.744 0.999
S 0.245 0.744 0.490
S 0.250 0.251 0.501
S 0.754 0.744 0.999
S 0.246 0.256 0.001
S 0.750 0.749 0.499
S 0.755 0.256 0.510
S 0.755 0.256 0.001

[4]
Computed, not measured: crystalline Pr3Be2Rh5 at its relaxed geometry at the PBE-GGA level of DFT.

## Properties
Final energy: -6.499 eV per atom
Crystal system: tetragonal
V: 353.6 Å³ per cell
Space group: P4/mbm

Unit cell a=3.496 b=10.057 c=10.057 alpha=90.00 beta=90.00 gamma=90.00
Atoms (fractional coordinates):
Pr 0.000 0.324 0.824
Pr 0.000 0.676 0.176
Pr 0.000 0.176 0.324
Pr 0.000 0.824 0.676
Pr 0.000 0.000 0.000
Pr 0.000 0.500 0.500
Be 0.000 0.117 0.617
Be 0.000 0.883 0.383
Be 0.000 0.383 0.117
Be 0.000 0.617 0.883
Rh 0.500 0.229 0.070
Rh 0.500 0.771 0.930
Rh 0.500 0.930 0.229
Rh 0.500 0.070 0.771
Rh 0.500 0.271 0.570
Rh 0.500 0.729 0.430
Rh 0.500 0.570 0.729
Rh 0.500 0.430 0.271
Rh 0.500 0.000 0.500
Rh 0.500 0.500 0.000

[5]
Computed, not measured: crystalline Cs4RbAg at its relaxed geometry at the PBE-GGA level of DFT.

## Properties
Final energy: -1.173 eV per atom
Crystal system: monoclinic
V: 1021.5 Å³ per cell
Space group: C2/c

Unit cell a=8.916 b=13.635 c=11.207 alpha=117.70 beta=100.27 gamma=111.15
Atoms (fractional coordinates):
Cs 0.043 0.161 0.822
Cs 0.793 0.739 0.681
Cs 0.279 0.662 0.822
Cs 0.388 0.942 0.681
Cs 0.612 0.058 0.319
Cs 0.721 0.338 0.178
Cs 0.207 0.261 0.319
Cs 0.957 0.839 0.178
Rb 0.361 0.611 0.222
Rb 0.639 0.389 0.778
Ag 0.253 0.003 0.005
Ag 0.747 0.997 0.995

[6]
Computed, not measured: crystalline ThInIrAu at its relaxed geometry at the PBE-GGA level of DFT.

## Properties
Final energy: -6.072 eV per atom
Crystal system: cubic
V: 87.3 Å³ per cell
Space group: F-43m

Unit cell a=4.980 b=4.980 c=4.980 alpha=60.00 beta=60.00 gamma=60.00
Atoms (fractional coordinates):
Ir 0.500 0.500 0.500
Au 0.000 0.000 0.000
Th 0.250 0.250 0.250
In 0.750 0.750 0.750

[7]
Computed, not measured: crystalline Na2ZnCdAu6 at its relaxed geometry at the PBE-GGA level of DFT.

## Properties
Final energy: -2.347 eV per atom
Crystal system: cubic
V: 265.4 Å³ per cell
Space group: Fm-3m

Unit cell a=7.213 b=7.213 c=7.213 alpha=60.00 beta=60.00 gamma=90.00
Atoms (fractional coordinates):
Na 0.250 0.750 0.500
Na 0.750 0.250 0.500
Zn 0.500 0.500 0.000
Cd 0.000 0.000 0.000
Au 0.259 0.741 0.000
Au 0.741 0.741 0.000
Au 0.259 0.259 0.481
Au 0.741 0.259 0.000
Au 0.259 0.259 0.000
Au 0.741 0.741 0.519

[8]
Computed, not measured: crystalline Li2La2In at its relaxed geometry at the PBE-GGA level of DFT.

## Properties
Final energy: -3.454 eV per atom
Crystal system: tetragonal
V: 262.3 Å³ per cell
Space group: P4/mbm

Unit cell a=7.118 b=7.118 c=5.178 alpha=90.00 beta=90.00 gamma=90.00
Atoms (fractional coordinates):
In 0.000 0.000 0.000
In 0.500 0.500 0.000
Li 0.369 0.869 0.000
Li 0.869 0.631 0.000
Li 0.631 0.131 0.000
Li 0.131 0.369 0.000
La 0.182 0.682 0.500
La 0.682 0.818 0.500
La 0.818 0.318 0.500
La 0.318 0.182 0.500

[9]
Computed, not measured: crystalline Hf2SiBr at its relaxed geometry at the PBE-GGA level of DFT.

## Properties
Final energy: -6.390 eV per atom
Crystal system: tetragonal
E_form (uncorrected): 361 meV/atom
V: 214.7 Å³ per cell
Space group: I-42d

Unit cell a=5.913 b=5.913 c=7.430 alpha=66.55 beta=66.55 gamma=90.00
Atoms (fractional coordinates):
Si 0.500 0.500 0.000
Si 0.250 0.750 0.500
Hf 0.599 0.125 0.250
Hf 0.151 0.625 0.250
Hf 0.375 0.401 0.750
Hf 0.875 0.849 0.750
Br 0.000 0.000 0.000
Br 0.750 0.250 0.500

[10]
Computed, not measured: crystalline Sr5Re2O12 at its relaxed geometry at the PBE-GGA level of DFT.

## Properties
Final energy: -7.320 eV per atom
Crystal system: trigonal
E_form (uncorrected): -2436 meV/atom
V: 1687.2 Å³ per cell
Space group: R-3c

Unit cell a=20.012 b=20.012 c=20.012 alpha=29.20 beta=29.20 gamma=29.20
Atoms (fractional coordinates):
Sr 0.698 0.036 0.328
Sr 0.779 0.491 0.084
Sr 0.964 0.672 0.302
Sr 0.672 0.302 0.964
Sr 0.916 0.221 0.509
Sr 0.221 0.509 0.916
Sr 0.464 0.802 0.172
Sr 0.584 0.991 0.279
Sr 0.084 0.779 0.491
Sr 0.396 0.396 0.396
Sr 0.198 0.828 0.536
Sr 0.036 0.328 0.698
Sr 0.172 0.464 0.802
Sr 0.604 0.604 0.604
Sr 0.491 0.084 0.779
Sr 0.750 0.750 0.750
Sr 0.302 0.964 0.672
Sr 0.328 0.698 0.036
Sr 0.509 0.916 0.221
Sr 0.991 0.279 0.584
Sr 0.828 0.536 0.198
Sr 0.009 0.721 0.416
Sr 0.536 0.198 0.828
Sr 0.721 0.416 0.009
Sr 0.896 0.896 0.896
Sr 0.802 0.172 0.464
Sr 0.416 0.009 0.721
Sr 0.250 0.250 0.250
Sr 0.104 0.104 0.104
Sr 0.279 0.584 0.991
Re 0.661 0.661 0.661
Re 0.082 0.418 0.750
Re 0.582 0.250 0.918
Re 0.339 0.339 0.339
Re 0.918 0.582 0.250
Re 0.161 0.161 0.161
Re 0.750 0.082 0.418
Re 0.000 0.000 0.000
Re 0.500 0.500 0.500
Re 0.250 0.918 0.582
Re 0.839 0.839 0.839
Re 0.418 0.750 0.082
O 0.791 0.225 0.303
O 0.476 0.417 0.185
O 0.162 0.553 0.536
O 0.000 0.233 0.302
O 0.964 0.947 0.338
O 0.291 0.803 0.725
O 0.021 0.860 0.175
O 0.479 0.325 0.640
O 0.083 0.024 0.315
O 0.315 0.083 0.024
O 0.447 0.464 0.838
O 0.583 0.815 0.524
O 0.185 0.476 0.417
O 0.500 0.198 0.267
O 0.417 0.185 0.476
O 0.553 0.536 0.162
O 0.524 0.583 0.815
O 0.922 0.527 0.725
O 0.473 0.275 0.078
O 0.662 0.036 0.053
O 0.698 0.000 0.767
O 0.225 0.027 0.422
O 0.338 0.964 0.947
O 0.697 0.209 0.775
O 0.973 0.578 0.775
O 0.802 0.733 0.500
O 0.825 0.979 0.140
O 0.536 0.162 0.553
O 0.360 0.521 0.675
O 0.685 0.917 0.976
O 0.275 0.078 0.473
O 0.775 0.697 0.209
O 0.767 0.698 0.000
O 0.917 0.976 0.685
O 0.140 0.825 0.979
O 0.027 0.422 0.225
O 0.233 0.302 0.000
O 0.640 0.479 0.325
O 0.225 0.303 0.791
O 0.198 0.267 0.500
O 0.175 0.021 0.860
O 0.267 0.500 0.198
O 0.325 0.640 0.479
O 0.500 0.802 0.733
O 0.078 0.473 0.275
O 0.725 0.291 0.803
O 0.733 0.500 0.802
O 0.302 0.000 0.233
O 0.979 0.140 0.825
O 0.527 0.725 0.922
O 0.775 0.973 0.578
O 0.838 0.447 0.464
O 0.947 0.338 0.964
O 0.275 0.709 0.197
O 0.464 0.838 0.447
O 0.197 0.275 0.709
O 0.725 0.922 0.527
O 0.053 0.662 0.036
O 0.578 0.775 0.973
O 0.024 0.315 0.083
O 0.709 0.197 0.275
O 0.976 0.685 0.917
O 0.422 0.225 0.027
O 0.803 0.725 0.291
O 0.675 0.360 0.521
O 0.303 0.791 0.225
O 0.860 0.175 0.021
O 0.209 0.775 0.697
O 0.000 0.767 0.698
O 0.036 0.053 0.662
O 0.815 0.524 0.583
O 0.521 0.675 0.360

[11]
Computed, not measured: crystalline PPdCO2 at its relaxed geometry at the PBE-GGA level of DFT.

## Properties
Final energy: -4.974 eV per atom
Crystal system: tetragonal
E_form (uncorrected): 975 meV/atom
V: 50.3 Å³ per cell
Space group: P4/mmm

Unit cell a=3.593 b=3.593 c=3.899 alpha=90.00 beta=90.00 gamma=90.00
Atoms (fractional coordinates):
P 0.000 0.000 0.500
C 0.000 0.000 0.000
O 0.000 0.500 0.000
O 0.500 0.000 0.000
Pd 0.500 0.500 0.500

[12]
Computed, not measured: crystalline Tl3CdCu2Br9 at its relaxed geometry at the PBE-GGA level of DFT.

## Properties
Final energy: -2.650 eV per atom
Crystal system: trigonal
E_form (uncorrected): -566 meV/atom
V: 442.2 Å³ per cell
Space group: P-3m1

Unit cell a=7.446 b=7.446 c=9.210 alpha=90.00 beta=90.00 gamma=120.00
Atoms (fractional coordinates):
Tl 0.333 0.667 0.682
Tl 0.000 0.000 0.000
Tl 0.667 0.333 0.318
Cd 0.000 0.000 0.500
Cu 0.333 0.667 0.158
Cu 0.667 0.333 0.842
Br 0.829 0.171 0.680
Br 0.829 0.658 0.680
Br 0.342 0.171 0.680
Br 0.658 0.829 0.320
Br 0.171 0.342 0.320
Br 0.171 0.829 0.320
Br 0.500 0.000 0.000
Br 0.000 0.500 0.000
Br 0.500 0.500 0.000

| no. | total magnetic moment (μB/atom) |
| --- | --- |
| 1 | 0.12 |
| 2 | 0.00 |
| 3 | 0.00 |
| 4 | 0.00 |
| 5 | 0.00 |
| 6 | 0.00 |
| 7 | 0.00 |
| 8 | 0.00 |
| 9 | 0.00 |
| 10 | 0.00 |
| 11 | 0.00 |
| 12 | 0.00 |